Model a:
# Pu2GeSb

An optimized crystal structure of Pu2GeSb (PBE-GGA, the Alexandria database).

Cell and atoms, written as POSCAR:
```
Pu2GeSb
1.0
5.189 0.000 0.000
2.594 4.494 0.000
2.594 1.498 4.237
Pu Ge Sb
2 1 1
direct
0.750 0.750 0.750
0.250 0.250 0.250
0.500 0.500 0.500
0.000 0.000 0.000
```



Model b:
# Pu2GeSb

An optimized crystal structure of Pu2GeSb (PBE-GGA, the Alexandria database).

Cell and atoms, written as POSCAR:
```
Pu2GeSb
1.0
2.203 -9.854 0.000
2.203 9.854 0.000
0.000 0.000 4.338
Ge Sb Pu
2 2 4
direct
0.565 0.435 0.250
0.435 0.565 0.750
0.665 0.335 0.750
0.335 0.665 0.250
0.026 0.974 0.750
0.175 0.825 0.250
0.974 0.026 0.250
0.825 0.175 0.750
```



Energies, relative to the best one, in eV/atom: model a 0.000; model b 0.200.



Model a:
# Pu4GeSb

An optimized crystal structure of Pu4GeSb (PBE-GGA, the Alexandria database).

Cell and atoms, written as POSCAR:
```
Pu4GeSb
1.0
-1.959 -0.990 -4.550
-5.175 -3.109 0.106
-2.490 4.757 -2.761
Pu Sb Ge
4 1 1
direct
0.253 0.413 0.081
0.747 0.919 0.587
0.253 0.081 0.413
0.747 0.587 0.919
0.500 0.500 0.500
0.000 0.000 0.000
```



Model b:
# Pu4GeSb

An optimized crystal structure of Pu4GeSb (PBE-GGA, the Alexandria database).

Cell and atoms, written as POSCAR:
```
Pu4GeSb
1.0
-2.378 3.120 -4.037
-4.502 -3.068 0.283
-3.890 1.553 3.494
Pu Ge Sb
4 1 1
direct
0.501 0.840 0.341
0.501 0.154 0.655
0.001 0.334 0.835
0.001 0.661 0.161
0.001 0.997 0.498
0.501 0.497 0.998
```



Energies, relative to the best one, in eV/atom: model a 0.193; model b 0.000.



Model a:
# Pu3GeSb

An optimized crystal structure of Pu3GeSb (PBE-GGA, the Alexandria database).

Cell and atoms, written as POSCAR:
```
Pu3GeSb
1.0
-0.089 -4.742 -6.328
3.483 -6.384 4.735
-6.841 -2.353 1.860
Pu Ge Sb
12 4 4
direct
0.500 0.500 0.719
0.105 0.361 0.256
0.605 0.139 0.244
0.500 0.500 0.281
0.395 0.861 0.244
0.000 0.000 0.781
0.000 0.000 0.219
0.395 0.861 0.756
0.895 0.639 0.256
0.895 0.639 0.744
0.105 0.361 0.744
0.605 0.139 0.756
0.294 0.141 0.000
0.206 0.641 0.500
0.794 0.359 0.500
0.706 0.859 0.000
0.789 0.365 0.000
0.289 0.135 0.500
0.711 0.865 0.500
0.211 0.635 0.000
```



Model b:
# Pu3GeSb

An optimized crystal structure of Pu3GeSb (PBE-GGA, the Alexandria database).

Cell and atoms, written as POSCAR:
```
Pu3GeSb
1.0
6.158 0.000 0.000
3.079 5.333 0.000
3.079 1.778 7.705
Pu Ge Sb
6 2 2
direct
0.242 0.242 0.773
0.758 0.258 0.227
0.742 0.242 0.773
0.758 0.758 0.227
0.258 0.758 0.227
0.242 0.742 0.773
0.695 0.695 0.916
0.305 0.305 0.084
0.808 0.808 0.575
0.192 0.192 0.425
```



Energies, relative to the best one, in eV/atom: model a 0.000; model b 0.042.



Model a:
# PuGeSb2

An optimized crystal structure of PuGeSb2 (PBE-GGA, the Alexandria database).

Cell and atoms, written as POSCAR:
```
PuGeSb2
1.0
-0.604 -3.674 -1.595
3.387 0.393 -2.188
3.206 -2.487 4.515
Ge Sb Pu
1 2 1
direct
0.500 0.500 0.000
0.000 0.000 0.244
0.000 0.000 0.756
0.500 0.500 0.500
```



Model b:
# PuGeSb2

An optimized crystal structure of PuGeSb2 (PBE-GGA, the Alexandria database).

Cell and atoms, written as POSCAR:
```
PuGeSb2
1.0
-1.496 -1.628 -2.407
1.526 -2.474 -1.494
-4.309 -8.610 6.280
Sb Pu Ge
2 1 1
direct
0.087 0.087 0.738
0.913 0.913 0.262
0.500 0.500 0.500
0.000 0.000 0.000
```



Energies, relative to the best one, in eV/atom: model a 0.000; model b 0.321.



Model a:
# Pu3GeSb2

An optimized crystal structure of Pu3GeSb2 (PBE-GGA, the Alexandria database).

Cell and atoms, written as POSCAR:
```
Pu3GeSb2
1.0
-5.071 -5.435 1.235
5.935 -2.943 3.617
-3.737 5.907 2.849
Sb Pu Ge
4 6 2
direct
0.250 0.239 0.761
0.750 0.761 0.239
0.250 0.919 0.081
0.750 0.081 0.919
0.490 0.649 0.804
0.010 0.196 0.351
0.500 0.000 0.500
0.990 0.804 0.649
0.510 0.351 0.196
0.000 0.500 0.000
0.750 0.408 0.592
0.250 0.592 0.408
```



Model b:
# Pu3GeSb2

An optimized crystal structure of Pu3GeSb2 (PBE-GGA, the Alexandria database).

Cell and atoms, written as POSCAR:
```
Pu3GeSb2
1.0
4.492 0.000 0.000
0.000 11.235 0.000
0.000 0.000 12.849
Sb Ge Pu
8 4 12
direct
0.750 0.282 0.477
0.750 0.218 0.977
0.250 0.782 0.023
0.250 0.997 0.306
0.250 0.503 0.806
0.750 0.003 0.694
0.750 0.497 0.194
0.250 0.718 0.523
0.250 0.365 0.610
0.250 0.135 0.110
0.750 0.865 0.890
0.750 0.635 0.390
0.750 0.956 0.118
0.250 0.398 0.045
0.250 0.456 0.382
0.250 0.044 0.882
0.250 0.710 0.255
0.750 0.544 0.618
0.750 0.290 0.745
0.250 0.790 0.755
0.750 0.898 0.455
0.750 0.210 0.245
0.250 0.102 0.545
0.750 0.602 0.955
```



Energies, relative to the best one, in eV/atom: model a 0.000; model b 0.012.



Model a:
# PuScGe2

An optimized crystal structure of PuScGe2 (PBE-GGA, the Alexandria database).

Cell and atoms, written as POSCAR:
```
PuScGe2
1.0
-0.354 -4.174 -0.837
-0.583 -0.702 3.748
-5.003 2.664 -0.280
Ge Sc Pu
2 1 1
direct
0.995 0.000 0.529
0.166 0.500 0.871
0.449 0.500 0.437
0.721 0.000 0.981
```



Model b:
# PuScGe2

An optimized crystal structure of PuScGe2 (PBE-GGA, the Alexandria database).

Cell and atoms, written as POSCAR:
```
PuScGe2
1.0
-2.731 -2.277 -0.359
-0.673 -1.497 -3.174
3.768 -7.433 0.696
Pu Ge Sc
1 2 1
direct
0.500 0.500 0.500
0.255 0.255 0.234
0.745 0.745 0.766
0.000 0.000 0.000
```



Energies, relative to the best one, in eV/atom: model a 0.000; model b 0.200.



Model a:
# PuSi2Ge

An optimized crystal structure of PuSi2Ge (PBE-GGA, the Alexandria database).

Cell and atoms, written as POSCAR:
```
PuSi2Ge
1.0
-0.813 -3.609 1.763
2.218 -1.917 -2.902
3.380 0.379 2.334
Ge Si Pu
1 2 1
direct
0.500 0.500 0.500
0.000 0.000 0.500
0.000 0.500 0.000
0.500 0.000 0.000
```



Model b:
# PuSi2Ge

An optimized crystal structure of PuSi2Ge (PBE-GGA, the Alexandria database).

Cell and atoms, written as POSCAR:
```
PuSi2Ge
1.0
3.515 0.000 0.000
0.000 3.515 0.000
0.000 0.000 5.990
Si Pu Ge
2 1 1
direct
0.000 0.000 0.799
0.000 0.000 0.201
0.500 0.500 0.500
0.500 0.500 0.000
```



Energies, relative to the best one, in eV/atom: model a 0.000; model b 0.196.



Model a:
# Pu3Si2Ge2

An optimized crystal structure of Pu3Si2Ge2 (PBE-GGA, the Alexandria database).

Cell and atoms, written as POSCAR:
```
Pu3Si2Ge2
1.0
4.128 0.000 -0.707
-0.155 3.874 -0.903
-0.506 0.137 9.451
Si Pu Ge
2 3 2
direct
0.564 0.564 0.128
0.436 0.436 0.872
0.000 0.000 0.000
0.186 0.686 0.372
0.814 0.314 0.628
0.644 0.144 0.287
0.356 0.856 0.713
```



Model b:
# Pu3Si2Ge2

An optimized crystal structure of Pu3Si2Ge2 (PBE-GGA, the Alexandria database).

Cell and atoms, written as POSCAR:
```
Pu3Si2Ge2
1.0
-0.550 -3.228 1.578
4.175 -1.394 -1.396
2.113 5.719 8.251
Pu Ge Si
3 2 2
direct
0.583 0.083 0.167
0.417 0.917 0.833
0.000 0.000 0.000
0.264 0.764 0.528
0.736 0.236 0.472
0.326 0.326 0.652
0.674 0.674 0.348
```



Energies, relative to the best one, in eV/atom: model a 0.000; model b 0.993.



Model a:
# PuSiGe

An optimized crystal structure of PuSiGe (PBE-GGA, the Alexandria database).

Cell and atoms, written as POSCAR:
```
PuSiGe
1.0
3.868 0.000 0.000
0.000 4.218 0.000
0.000 -2.109 3.653
Ge Si Pu
1 1 1
direct
0.167 0.000 0.000
0.167 0.667 0.333
0.667 0.333 0.667
```



Model b:
# PuSiGe

An optimized crystal structure of PuSiGe (PBE-GGA, the Alexandria database).

Cell and atoms, written as POSCAR:
```
PuSiGe
1.0
4.159 0.000 0.000
2.079 5.356 -0.153
2.079 -0.055 5.358
Pu Ge Si
2 2 2
direct
0.500 0.748 0.252
0.500 0.252 0.748
0.174 0.326 0.326
0.826 0.674 0.674
0.843 0.157 0.157
0.157 0.843 0.843
```



Energies, relative to the best one, in eV/atom: model a 0.013; model b 0.000.



Model a:
# Pu3Si2Ge4

An optimized crystal structure of Pu3Si2Ge4 (PBE-GGA, the Alexandria database).

Cell and atoms, written as POSCAR:
```
Pu3Si2Ge4
1.0
-2.966 2.621 -1.861
-0.754 -5.498 -1.403
-2.998 2.152 7.809
Pu Ge Si
3 4 2
direct
0.626 0.251 0.682
0.374 0.749 0.318
0.000 0.000 0.000
0.279 0.558 0.938
0.721 0.442 0.062
0.100 0.200 0.406
0.900 0.800 0.594
0.656 0.312 0.305
0.344 0.688 0.695
```



Model b:
# Pu3Si2Ge4

An optimized crystal structure of Pu3Si2Ge4 (PBE-GGA, the Alexandria database).

Cell and atoms, written as POSCAR:
```
Pu3Si2Ge4
1.0
4.280 0.000 0.000
-2.140 5.242 -1.060
0.000 -0.406 8.225
Ge Pu Si
4 3 2
direct
0.931 0.861 0.605
0.069 0.139 0.395
0.273 0.546 0.931
0.727 0.454 0.069
0.336 0.671 0.332
0.000 0.000 0.000
0.664 0.329 0.668
0.602 0.204 0.271
0.398 0.796 0.729
```



Energies, relative to the best one, in eV/atom: model a 0.041; model b 0.000.



Model a:
# PuSiGe2

An optimized crystal structure of PuSiGe2 (PBE-GGA, the Alexandria database).

Cell and atoms, written as POSCAR:
```
PuSiGe2
1.0
-1.653 -0.135 3.872
-1.151 -3.968 -0.630
3.668 -1.306 1.520
Ge Si Pu
2 1 1
direct
0.000 0.500 0.000
0.000 0.000 0.500
0.500 0.500 0.500
0.500 0.000 0.000
```



Model b:
# PuSiGe2

An optimized crystal structure of PuSiGe2 (PBE-GGA, the Alexandria database).

Cell and atoms, written as POSCAR:
```
PuSiGe2
1.0
3.558 0.000 0.000
0.000 3.558 0.000
0.000 0.000 6.060
Si Pu Ge
1 1 2
direct
0.500 0.500 0.000
0.500 0.500 0.500
0.000 0.000 0.208
0.000 0.000 0.792
```



Model c:
# PuSiGe2

An optimized crystal structure of PuSiGe2 (PBE-GGA, the Alexandria database).

Cell and atoms, written as POSCAR:
```
PuSiGe2
1.0
-0.417 4.921 0.934
-4.029 1.764 2.432
0.234 1.771 4.296
Ge Si Pu
2 1 1
direct
0.237 0.237 0.290
0.763 0.763 0.710
0.000 0.000 0.000
0.500 0.500 0.500
```



Energies, relative to the best one, in eV/atom: model a 0.000; model b 0.212; model c 0.415.



Model a:
# SmPu2Ge2

An optimized crystal structure of SmPu2Ge2 (PBE-GGA, the Alexandria database).

Cell and atoms, written as POSCAR:
```
SmPu2Ge2
1.0
-0.598 3.269 1.278
-2.547 -2.186 4.398
11.441 0.582 3.866
Pu Ge Sm
4 4 2
direct
0.750 0.636 0.508
0.250 0.364 0.492
0.750 0.099 0.052
0.250 0.901 0.948
0.250 0.387 0.932
0.750 0.281 0.294
0.750 0.613 0.068
0.250 0.719 0.706
0.250 0.770 0.269
0.750 0.230 0.731
```



Model b:
# SmPu2Ge2

An optimized crystal structure of SmPu2Ge2 (PBE-GGA, the Alexandria database).

Cell and atoms, written as POSCAR:
```
SmPu2Ge2
1.0
-1.001 -3.311 1.450
4.823 2.854 4.998
-6.611 3.834 4.190
Ge Pu Sm
4 4 2
direct
0.764 0.528 0.153
0.017 0.034 0.535
0.983 0.966 0.035
0.236 0.472 0.653
0.335 0.670 0.933
0.875 0.750 0.754
0.665 0.330 0.433
0.125 0.250 0.254
0.401 0.802 0.329
0.599 0.198 0.829
```



Energies, relative to the best one, in eV/atom: model a 0.285; model b 0.000.